Below is TbPuTe2 after structural relaxation, with properties calculated at the PBE level.

Cell and atoms, written as CIF:
```
data_TbPuTe2
_symmetry_space_group_name_H-M 'A m m 2'
_symmetry_Int_Tables_number 38
_symmetry_space_group_name_Hall 'A 2 -2'
_cell_length_a 4.138
_cell_length_b 8.249
_cell_length_c 14.331
_cell_angle_alpha 90.00
_cell_angle_beta 90.00
_cell_angle_gamma 90.00
loop_
_atom_site_label
_atom_site_fract_x
_atom_site_fract_y
_atom_site_fract_z
Tb1 0.000 0.000 0.000
Tb2 0.500 0.000 0.259
Pu1 0.000 0.000 0.512
Pu2 0.500 0.000 0.749
Te1 0.000 0.247 0.339
Te2 0.500 0.237 0.088
```

Calculated values
The energy relative to the lowest polymorph listed for this composition is 104 meV per atom. Its total energy is -0.5465 Ry per atom. For the magnetic moment, the calculation gives 6.84 μB per formula unit. The raw formation energy comes out at -1124 meV per atom.

Below is TbPuTe2 after structural relaxation, with properties calculated at the PBE level.

Cell and atoms, written as CIF:
```
data_TbPuTe2
_symmetry_space_group_name_H-M 'P 63/m m c'
_symmetry_Int_Tables_number 194
_symmetry_space_group_name_Hall '-P 6c 2c'
_cell_length_a 4.2833
_cell_length_b 4.2833
_cell_length_c 15.2673
_cell_angle_alpha 90.00
_cell_angle_beta 90.00
_cell_angle_gamma 120.00
loop_
_atom_site_label
_atom_site_fract_x
_atom_site_fract_y
_atom_site_fract_z
Tb1 0.0000 0.0000 0.0000
Pu1 0.3333 0.6667 0.2500
Te1 0.3333 0.6667 0.6205
```

Calculated values
The energy relative to the lowest polymorph listed for this composition is 44 meV per atom. Its total energy is -0.5509 Ry per atom. For the magnetic moment, the calculation gives 6.12 μB per formula unit. The raw formation energy comes out at -1184 meV per atom.

Below is Tb4PuTe5 after structural relaxation, with properties calculated at the PBE level.

Cell and atoms, written as CIF:
```
data_Tb4PuTe5
_symmetry_space_group_name_H-M 'C 1 2/m 1'
_symmetry_Int_Tables_number 12
_symmetry_space_group_name_Hall '-C 2y'
_cell_length_a 14.608
_cell_length_b 4.364
_cell_length_c 10.730
_cell_angle_alpha 90.00
_cell_angle_beta 119.60
_cell_angle_gamma 90.00
loop_
_atom_site_label
_atom_site_fract_x
_atom_site_fract_y
_atom_site_fract_z
Tb1 0.099 0.000 0.398
Tb2 0.201 0.500 0.802
Pu1 0.000 0.500 0.000
Te1 0.000 0.500 0.500
Te2 0.101 0.000 0.899
Te3 0.202 0.500 0.303
```

Calculated values
The energy relative to the lowest polymorph listed for this composition is 0 meV per atom. Its total energy is -0.4514 Ry per atom. For the magnetic moment, the calculation gives 6.10 μB per formula unit. The raw formation energy comes out at -1286 meV per atom.

Among the records above, which one has the highest raw formation energy? number 1